--- a ---
VASP calculation (GGA-PBE) on an optimized crystal structure of LiVN2.

Lattice parameters (Å, degrees): 3.551 3.551 3.551 60.00 60.00 60.00
Each line ends with the local moment (μB).
Fractional coordinates of all 4 atoms:
V 0.500 0.500 0.500  0.92
N 0.250 0.250 0.250  -0.20
N 0.750 0.750 0.750  -0.20
Li 0.000 0.000 0.000  0.01

Summary:
Spin magnetization   0.48 Bohr magnetons per cell
Crystal system   cubic

---

--- b ---
VASP calculation (GGA-PBE) on an optimized crystal structure of LiVN2.

Lattice parameters (Å, degrees): 4.678 4.678 5.373 64.19 64.19 90.00
Fractional coordinates of all 8 atoms:
V 0.750 0.250 0.500
N 0.067 0.625 0.250
N 0.683 0.125 0.250
N 0.875 0.933 0.750
Li 0.500 0.500 0.000
Li 0.250 0.750 0.500
V 0.000 0.000 0.000
N 0.375 0.317 0.750

Summary:
Spin magnetization   0.00 Bohr magnetons per cell
Crystal system   tetragonal

---

--- c ---
VASP calculation (GGA-PBE) on an optimized crystal structure of LiVN2.

Lattice parameters (Å, degrees): 6.085 6.085 6.085 27.67 27.67 27.67
Fractional coordinates of all 4 atoms:
V 0.500 0.500 0.500
Li 0.000 0.000 0.000
N 0.106 0.106 0.106
N 0.894 0.894 0.894

Summary:
Spin magnetization   0.00 Bohr magnetons per cell
Crystal system   trigonal

---

Taking the most stable structure as the zero point, the relative energies in meV/atom are a 830; b 0; c 343.

---

--- a ---
VASP calculation (GGA-PBE) on an optimized crystal structure of Li7VN4.

Lattice parameters (Å, degrees): 6.775 6.775 4.889 90.00 90.00 90.00
Fractional coordinates of all 24 atoms:
Li 0.000 0.500 0.919
Li 0.500 0.000 0.081
V 0.000 0.000 0.500
Li 0.000 0.500 0.419
Li 0.736 0.736 0.500
N 0.000 0.775 0.712
Li 0.236 0.764 0.000
Li 0.736 0.264 0.500
N 0.775 0.000 0.288
N 0.000 0.225 0.712
Li 0.264 0.736 0.500
N 0.500 0.275 0.788
V 0.500 0.500 0.000
Li 0.236 0.236 0.000
Li 0.500 0.000 0.581
N 0.225 0.000 0.288
N 0.500 0.725 0.788
Li 0.500 0.500 0.500
Li 0.764 0.236 0.000
Li 0.264 0.264 0.500
Li 0.764 0.764 0.000
N 0.275 0.500 0.212
N 0.725 0.500 0.212
Li 0.000 0.000 0.000

Summary:
Spin magnetization   0.00 Bohr magnetons per cell
Crystal system   tetragonal

---

--- b ---
VASP calculation (GGA-PBE) on an optimized crystal structure of Li7VN4.

Lattice parameters (Å, degrees): 9.603 9.603 9.603 90.00 90.00 90.00
Fractional coordinates of all 96 atoms:
Li 0.131 0.370 0.884
N 0.022 0.985 0.260
N 0.760 0.260 0.240
V 0.370 0.370 0.370
N 0.985 0.240 0.522
V 0.370 0.130 0.870
N 0.478 0.485 0.260
Li 0.384 0.131 0.130
N 0.522 0.515 0.740
Li 0.884 0.131 0.370
Li 0.364 0.380 0.104
Li 0.131 0.130 0.384
Li 0.120 0.604 0.364
Li 0.867 0.633 0.367
Li 0.616 0.869 0.870
N 0.240 0.522 0.985
N 0.240 0.740 0.760
N 0.985 0.260 0.022
Li 0.631 0.130 0.116
Li 0.136 0.620 0.604
Li 0.130 0.384 0.131
Li 0.880 0.396 0.636
Li 0.380 0.396 0.864
Li 0.136 0.880 0.104
Li 0.604 0.136 0.620
Li 0.869 0.630 0.116
N 0.485 0.240 0.978
Li 0.116 0.869 0.630
Li 0.367 0.633 0.133
Li 0.630 0.384 0.369
N 0.978 0.485 0.240
V 0.630 0.870 0.130
N 0.740 0.740 0.740
N 0.760 0.022 0.515
Li 0.130 0.116 0.631
N 0.015 0.760 0.478
Li 0.396 0.864 0.380
N 0.740 0.978 0.015
Li 0.369 0.870 0.884
N 0.978 0.015 0.740
N 0.240 0.760 0.260
V 0.130 0.870 0.370
V 0.630 0.630 0.630
Li 0.104 0.364 0.380
V 0.870 0.130 0.630
N 0.740 0.522 0.515
Li 0.870 0.884 0.369
Li 0.630 0.116 0.869
N 0.260 0.478 0.485
Li 0.884 0.369 0.870
Li 0.380 0.104 0.364
Li 0.369 0.630 0.384
Li 0.867 0.867 0.867
Li 0.864 0.120 0.896
V 0.870 0.370 0.130
Li 0.616 0.631 0.370
Li 0.869 0.870 0.616
Li 0.636 0.880 0.396
N 0.515 0.760 0.022
Li 0.896 0.864 0.120
Li 0.604 0.364 0.120
Li 0.133 0.367 0.633
Li 0.104 0.136 0.880
N 0.485 0.260 0.478
Li 0.370 0.884 0.131
N 0.022 0.515 0.760
Li 0.620 0.896 0.636
Li 0.633 0.133 0.367
Li 0.384 0.369 0.630
N 0.015 0.740 0.978
Li 0.364 0.120 0.604
Li 0.370 0.616 0.631
N 0.515 0.740 0.522
N 0.260 0.022 0.985
Li 0.396 0.636 0.880
Li 0.880 0.104 0.136
Li 0.864 0.380 0.396
N 0.760 0.240 0.740
N 0.260 0.260 0.260
Li 0.636 0.620 0.896
Li 0.620 0.604 0.136
N 0.740 0.760 0.240
Li 0.870 0.616 0.869
Li 0.367 0.867 0.633
Li 0.631 0.370 0.616
N 0.260 0.240 0.760
N 0.522 0.985 0.240
Li 0.633 0.367 0.867
V 0.130 0.630 0.870
N 0.478 0.015 0.760
Li 0.120 0.896 0.864
N 0.240 0.978 0.485
N 0.760 0.478 0.015
Li 0.133 0.133 0.133
Li 0.116 0.631 0.130
Li 0.896 0.636 0.620

Summary:
Spin magnetization   0.00 Bohr magnetons per cell
Crystal system   cubic

---

Taking the most stable structure as the zero point, the relative energies in meV/atom are a 7; b 0.

---

--- a ---
VASP calculation (GGA-PBE) on an optimized crystal structure of LiV3N.

Lattice parameters (Å, degrees): 3.984 3.984 3.984 90.00 90.00 90.00
Fractional coordinates of all 5 atoms:
Li 0.000 0.000 0.000
V 0.000 0.000 0.500
V 0.500 0.000 0.000
N 0.500 0.500 0.500
V 0.000 0.500 0.000

Summary:
Spin magnetization   0.00 Bohr magnetons per cell
Crystal system   cubic

---

--- b ---
VASP calculation (GGA-PBE) on an optimized crystal structure of LiV3N.

Lattice parameters (Å, degrees): 3.938 3.938 3.938 90.00 90.00 90.00
Fractional coordinates of all 5 atoms:
V 0.000 0.500 0.000
V 0.500 0.000 0.000
Li 0.500 0.500 0.500
V 0.000 0.000 0.500
N 0.000 0.000 0.000

Summary:
Spin magnetization   0.00 Bohr magnetons per cell
Crystal system   cubic

---

Taking the most stable structure as the zero point, the relative energies in meV/atom are a 2237; b 0.

---

--- a ---
VASP calculation (GGA-PBE) on an optimized crystal structure of Li2ZnN.

Lattice parameters (Å, degrees): 3.932 3.932 3.932 60.00 60.00 60.00
Fractional coordinates of all 4 atoms:
Zn 0.500 0.500 0.500
Li 0.250 0.250 0.250
Li 0.750 0.750 0.750
N 0.000 0.000 0.000

Summary:
Spin magnetization   0.00 Bohr magnetons per cell
Crystal system   cubic

---

--- b ---
VASP calculation (GGA-PBE) on an optimized crystal structure of Li2ZnN.

Lattice parameters (Å, degrees): 4.861 5.563 6.775 90.00 90.00 90.00
Fractional coordinates of all 16 atoms:
Li 0.328 0.160 0.076
Zn 0.846 0.058 0.250
Li 0.828 0.340 0.924
Li 0.328 0.160 0.424
Zn 0.154 0.942 0.750
Zn 0.346 0.442 0.750
N 0.014 0.382 0.250
Zn 0.654 0.558 0.250
N 0.514 0.118 0.750
Li 0.672 0.840 0.576
N 0.986 0.618 0.750
Li 0.172 0.660 0.076
Li 0.172 0.660 0.424
N 0.486 0.882 0.250
Li 0.672 0.840 0.924
Li 0.828 0.340 0.576

Summary:
Spin magnetization   0.00 Bohr magnetons per cell
Crystal system   orthorhombic

---

Taking the most stable structure as the zero point, the relative energies in meV/atom are a 422; b 0.